## Ba7MnFe6F34 (GGA+U)

Data for a geometry-optimized Ba7MnFe6F34 structure.

Cell and atoms, written as POSCAR:
```
Ba7MnFe6F34
1.0
8.658 -5.789 0.000
8.658 5.789 0.000
-1.664 0.000 7.661
Ba Mn Fe F
7 1 6 34
Direct
0.000 0.000 0.000
0.159 0.556 0.704
0.263 0.263 0.127
0.444 0.841 0.296
0.556 0.159 0.704
0.737 0.737 0.873
0.841 0.444 0.296
0.500 0.500 0.500
0.133 0.648 0.202
0.172 0.172 0.540
0.352 0.867 0.798
0.648 0.133 0.202
0.828 0.828 0.460
0.867 0.352 0.798
0.003 0.264 0.993
0.015 0.771 0.387
0.041 0.517 0.198
0.110 0.110 0.304
0.119 0.354 0.457
0.209 0.791 0.202
0.209 0.791 0.798
0.229 0.985 0.613
0.247 0.512 0.034
0.251 0.251 0.762
0.264 0.003 0.993
0.276 0.554 0.389
0.354 0.119 0.457
0.431 0.431 0.685
0.446 0.724 0.611
0.483 0.959 0.802
0.488 0.753 0.966
0.512 0.247 0.034
0.517 0.041 0.198
0.554 0.276 0.389
0.569 0.569 0.315
0.646 0.881 0.543
0.724 0.446 0.611
0.736 0.997 0.007
0.749 0.749 0.238
0.753 0.488 0.966
0.771 0.015 0.387
0.791 0.209 0.202
0.791 0.209 0.798
0.881 0.646 0.543
0.890 0.890 0.696
0.959 0.483 0.802
0.985 0.229 0.613
0.997 0.736 0.007
```

Final energy: -5.612 eV/atom
Magnetic moment: 35.00 μB per cell